Entry 1:
Below is a geometry-optimized PmTm4Te5 structure, with properties calculated at the GGA-PBE level.

Summary:
Its crystal system is tetragonal. The calculation puts the raw formation energy at -117 kJ per mole of atoms. The polymorph energy (0 for the lowest one) comes out at 0.000 eV/atom.

Structure (CIF):
```
data_PmTm4Te5
_cell_length_a 4.2991
_cell_length_b 4.2991
_cell_length_c 15.9076
_cell_angle_alpha 97.77
_cell_angle_beta 97.77
_cell_angle_gamma 90.00
_symmetry_space_group_name_H-M 'P 1'
_symmetry_Int_Tables_number 1
loop_
_symmetry_equiv_pos_as_xyz
'x,y,z'
loop_
_atom_site_label
_atom_site_type_symbol
_atom_site_fract_x
_atom_site_fract_y
_atom_site_fract_z
Pm1 Pm 0.0000 0.0000 0.0000
Tm1 Tm 0.4063 0.4063 0.8127
Tm2 Tm 0.7901 0.7901 0.5801
Tm3 Tm 0.2099 0.2099 0.4199
Tm4 Tm 0.5937 0.5937 0.1873
Te1 Te 0.1055 0.1055 0.2110
Te2 Te 0.5000 0.5000 0.0000
Te3 Te 0.8945 0.8945 0.7890
Te4 Te 0.3066 0.3066 0.6133
Te5 Te 0.6934 0.6934 0.3867
```


Entry 2:
Below is a geometry-optimized Pm2TmTe structure, with properties calculated at the GGA-PBE level.

Summary:
Its crystal system is tetragonal. The calculation puts the raw formation energy at -55 kJ per mole of atoms. The polymorph energy (0 for the lowest one) comes out at 0.000 eV/atom.

Structure (CIF):
```
data_Pm2TmTe
_cell_length_a 3.9907
_cell_length_b 3.9907
_cell_length_c 7.6705
_cell_angle_alpha 90.00
_cell_angle_beta 90.00
_cell_angle_gamma 90.00
_symmetry_space_group_name_H-M 'P 1'
_symmetry_Int_Tables_number 1
loop_
_symmetry_equiv_pos_as_xyz
'x,y,z'
loop_
_atom_site_label
_atom_site_type_symbol
_atom_site_fract_x
_atom_site_fract_y
_atom_site_fract_z
Tm1 Tm 0.5000 0.5000 0.0000
Te1 Te 0.5000 0.5000 0.5000
Pm1 Pm 0.0000 0.0000 0.7290
Pm2 Pm 0.0000 0.0000 0.2710
```


Entry 3:
Below is a geometry-optimized PmTmTe structure, with properties calculated at the GGA-PBE level.

Summary:
Its crystal system is tetragonal. The calculation puts the raw formation energy at -74 kJ per mole of atoms. The polymorph energy (0 for the lowest one) comes out at 0.017 eV/atom.

Structure (CIF):
```
data_PmTmTe
_cell_length_a 3.8949
_cell_length_b 3.8949
_cell_length_c 6.4442
_cell_angle_alpha 107.59
_cell_angle_beta 107.59
_cell_angle_gamma 90.00
_symmetry_space_group_name_H-M 'P 1'
_symmetry_Int_Tables_number 1
loop_
_symmetry_equiv_pos_as_xyz
'x,y,z'
loop_
_atom_site_label
_atom_site_type_symbol
_atom_site_fract_x
_atom_site_fract_y
_atom_site_fract_z
Tm1 Tm 0.0155 0.0155 0.0310
Te1 Te 0.6575 0.6575 0.3149
Pm1 Pm 0.3270 0.3270 0.6541
```


Entry 4:
Below is a geometry-optimized Pm2Tm2Te7 structure, with properties calculated at the GGA-PBE level.

Summary:
Its crystal system is orthorhombic. The calculation puts the raw formation energy at -97 kJ per mole of atoms.

Structure (CIF):
```
data_Pm2Tm2Te7
_cell_length_a 7.6968
_cell_length_b 6.8079
_cell_length_c 7.6968
_cell_angle_alpha 90.00
_cell_angle_beta 93.83
_cell_angle_gamma 90.00
_symmetry_space_group_name_H-M 'P 1'
_symmetry_Int_Tables_number 1
loop_
_symmetry_equiv_pos_as_xyz
'x,y,z'
loop_
_atom_site_label
_atom_site_type_symbol
_atom_site_fract_x
_atom_site_fract_y
_atom_site_fract_z
Pm1 Pm 0.7429 0.5000 0.7429
Pm2 Pm 0.2571 0.5000 0.2571
Tm1 Tm 0.7346 0.0000 0.2654
Tm2 Tm 0.2654 0.0000 0.7346
Te1 Te 0.0000 0.2553 0.5000
Te2 Te 0.5000 0.7447 0.0000
Te3 Te 0.0000 0.7447 0.5000
Te4 Te 0.5000 0.2553 0.0000
Te5 Te 0.0000 0.0000 0.0000
Te6 Te 0.5000 0.7561 0.5000
Te7 Te 0.5000 0.2439 0.5000
```


Entry 5:
Below is a geometry-optimized Pm2TmTe structure, with properties calculated at the GGA-PBE level.

Summary:
Its crystal system is trigonal. The calculation puts the raw formation energy at -52 kJ per mole of atoms. The polymorph energy (0 for the lowest one) comes out at 0.038 eV/atom.

Structure (CIF):
```
data_Pm2TmTe
_cell_length_a 3.9659
_cell_length_b 3.9659
_cell_length_c 10.0714
_cell_angle_alpha 78.64
_cell_angle_beta 78.64
_cell_angle_gamma 60.00
_symmetry_space_group_name_H-M 'P 1'
_symmetry_Int_Tables_number 1
loop_
_symmetry_equiv_pos_as_xyz
'x,y,z'
loop_
_atom_site_label
_atom_site_type_symbol
_atom_site_fract_x
_atom_site_fract_y
_atom_site_fract_z
Pm1 Pm 0.0733 0.0733 0.7802
Pm2 Pm 0.2602 0.2602 0.2194
Tm1 Tm 0.4997 0.4997 0.5009
Te1 Te 0.6668 0.6668 0.9995
```


Entry 6:
Below is a geometry-optimized PmTm8Te2 structure, with properties calculated at the GGA-PBE level.

Summary:
Its crystal system is monoclinic. The calculation puts the raw formation energy at -14 kJ per mole of atoms.

Structure (CIF):
```
data_PmTm8Te2
_cell_length_a 3.8212
_cell_length_b 10.4947
_cell_length_c 10.4947
_cell_angle_alpha 64.07
_cell_angle_beta 85.08
_cell_angle_gamma 85.08
_symmetry_space_group_name_H-M 'P 1'
_symmetry_Int_Tables_number 1
loop_
_symmetry_equiv_pos_as_xyz
'x,y,z'
loop_
_atom_site_label
_atom_site_type_symbol
_atom_site_fract_x
_atom_site_fract_y
_atom_site_fract_z
Pm1 Pm 0.0000 0.0000 0.0000
Tm1 Tm 0.7768 0.1743 0.6545
Tm2 Tm 0.2232 0.3455 0.8257
Tm3 Tm 0.8560 0.2736 0.2736
Tm4 Tm 0.1440 0.7264 0.7264
Tm5 Tm 0.7768 0.6545 0.1743
Tm6 Tm 0.2232 0.8257 0.3455
Tm7 Tm 0.2789 0.4306 0.4306
Tm8 Tm 0.7211 0.5694 0.5694
Te1 Te 0.4263 0.1410 0.1410
Te2 Te 0.5737 0.8590 0.8590
```


Entry 7:
Below is a geometry-optimized Pm3TmTe4 structure, with properties calculated at the GGA-PBE level.

Summary:
Its crystal system is orthorhombic. The calculation puts the raw formation energy at -130 kJ per mole of atoms.

Structure (CIF):
```
data_Pm3TmTe4
_cell_length_a 4.3553
_cell_length_b 7.7095
_cell_length_c 7.7095
_cell_angle_alpha 108.65
_cell_angle_beta 90.00
_cell_angle_gamma 90.00
_symmetry_space_group_name_H-M 'P 1'
_symmetry_Int_Tables_number 1
loop_
_symmetry_equiv_pos_as_xyz
'x,y,z'
loop_
_atom_site_label
_atom_site_type_symbol
_atom_site_fract_x
_atom_site_fract_y
_atom_site_fract_z
Pm1 Pm 0.0000 0.0000 0.5000
Pm2 Pm 0.5000 0.5000 0.5000
Pm3 Pm 0.0000 0.5000 0.0000
Tm1 Tm 0.5000 0.0000 0.0000
Te1 Te 0.0000 0.2399 0.2399
Te2 Te 0.5000 0.7551 0.2449
Te3 Te 0.0000 0.7601 0.7601
Te4 Te 0.5000 0.2449 0.7551
```


Entry 8:
Below is a geometry-optimized PmTm3Te4 structure, with properties calculated at the GGA-PBE level.

Summary:
Its crystal system is orthorhombic. The calculation puts the raw formation energy at -118 kJ per mole of atoms.

Structure (CIF):
```
data_PmTm3Te4
_cell_length_a 4.2612
_cell_length_b 7.5734
_cell_length_c 7.5734
_cell_angle_alpha 108.46
_cell_angle_beta 90.00
_cell_angle_gamma 90.00
_symmetry_space_group_name_H-M 'P 1'
_symmetry_Int_Tables_number 1
loop_
_symmetry_equiv_pos_as_xyz
'x,y,z'
loop_
_atom_site_label
_atom_site_type_symbol
_atom_site_fract_x
_atom_site_fract_y
_atom_site_fract_z
Pm1 Pm 0.5000 0.0000 0.0000
Tm1 Tm 0.0000 0.0000 0.5000
Tm2 Tm 0.5000 0.5000 0.5000
Tm3 Tm 0.0000 0.5000 0.0000
Te1 Te 0.0000 0.2594 0.2594
Te2 Te 0.5000 0.7453 0.2547
Te3 Te 0.0000 0.7406 0.7406
Te4 Te 0.5000 0.2547 0.7453
```


How do the records compare in energy? In the order shown, they have -0.1857; -0.1783; -0.1798; -0.1719; -0.1769; -0.1616; -0.1932; -0.1862 Ha/atom.